A relaxed structure of TaCo2TeO6. Source: Alexandria via LeMat-Bulk, functional PBE+U.

Output
Final energy, hartree per atom: -0.257

```
10
Lattice="5.7031 0.0852 1.2315 2.9547 4.5321 0.3346 4.1563 1.1867 6.1986" Properties=species:S:1:pos:R:3 pbc="T T T"
Co 6.3639 2.9689 3.8129
Co 9.9051 1.7839 6.9741
O 4.4303 3.1159 4.4468
O 7.3656 4.4372 5.2402
O 6.1110 1.1451 2.6411
O 6.5474 1.4557 5.3307
O 8.4148 2.8902 3.4093
O 5.5285 4.2859 2.4550
Te 3.0817 1.1282 0.8516
Ta 9.1592 4.3496 4.4577
```